Record 1
Density functional theory data (PBE-GGA) for a relaxed Tl2CrAs crystal.

```
Tl2CrAs
1.0
-2.1420 2.1420 5.2409
2.1420 -2.1420 5.2409
2.1420 2.1420 -5.2409
Tl Cr As
2 1 1
direct
0.2500 0.7500 0.5000
0.7500 0.2500 0.5000
0.0000 0.0000 0.0000
0.5000 0.5000 0.0000
```

The value obtained for the total DFT energy (no corrections) is -4.303 eV per atom. The calculated density is 9.2 Mg/m³. As for the energy above the most stable polymorph in this dataset: 31.8 kJ per mole of atoms. The calculation puts the total magnetization at 4.26 μB/f.u. For the energy of formation, the calculation gives 1.8 eV/f.u.

---

Record 2
Density functional theory data (PBE-GGA) for a relaxed Ce2TlCu crystal.

```
Ce2TlCu
1.0
4.4827 0.0000 0.0000
0.0000 4.4827 0.0000
0.0000 0.0000 4.6944
Ce Tl Cu
2 1 1
direct
0.0000 0.5000 0.0000
0.5000 0.0000 0.0000
0.0000 0.0000 0.5000
0.5000 0.5000 0.5000
```

The value obtained for the total DFT energy (no corrections) is -4.657 eV per atom. The calculated density is 9.6 Mg/m³. The calculation puts the total magnetization at 0.73 μB/f.u. For the energy of formation, the calculation gives -0.3 eV/f.u.

---

Q: Among the records above, which one has the lowest energy of formation?
A: Ce2TlCu